This record from the Alexandria database describes a relaxed Ac5Te crystal. The functional is PBE.

Lattice parameters (Å, degrees): 5.396 16.953 5.321 90.00 90.00 90.00
Space group Cmmm (No. 65)
Inequivalent atoms, fractional coordinates:
Ac (0.000, 0.000, 0.000)
Ac (0.000, 0.162, 0.500)
Ac (0.000, 0.338, 0.000)
Te (0.000, 0.500, 0.500)

Computed properties:
- E_form (uncorrected): -0.28 eV per atom

This record from the Alexandria database describes a relaxed KUPtS2 crystal. The functional is PBE.

Lattice parameters (Å, degrees): 7.768 4.759 7.346 90.00 101.52 90.00
Space group P2/c (No. 13)
Inequivalent atoms, fractional coordinates:
K (0.000, 0.193, 0.250)
U (0.500, 0.494, 0.750)
Pt (0.500, 0.000, 0.000)
S (0.254, 0.300, 0.952)

Computed properties:
- E_form (uncorrected): -1.01 eV per atom

This record from the Alexandria database describes a relaxed Be2HgPt2 crystal. The functional is PBE.

Lattice parameters (Å, degrees): 7.121 7.121 2.777 90.00 90.00 90.00
Space group P4/mbm (No. 127)
Inequivalent atoms, fractional coordinates:
Be (0.145, 0.355, 0.000)
Hg (0.000, 0.000, 0.500)
Pt (0.144, 0.644, 0.500)

Computed properties:
- Energy above the most stable polymorph in this dataset: 0.0492 eV per atom

This record from the Alexandria database describes a relaxed La2NdBe crystal. The functional is PBE.

Lattice parameters (Å, degrees): 3.677 3.677 8.788 90.00 90.00 90.00
Space group P4/mmm (No. 123)
Inequivalent atoms, fractional coordinates:
La (0.000, 0.000, 0.190)
Nd (0.500, 0.500, 0.500)
Be (0.500, 0.500, 0.000)

Computed properties:
- Uncorrected energy: -17.87 eV per cell

This record from the Alexandria database describes a relaxed CsHg3Au crystal. The functional is PBE.

Lattice parameters (Å, degrees): 5.584 5.584 5.584 90.00 90.00 90.00
Space group Pm-3m (No. 221)
Inequivalent atoms, fractional coordinates:
Cs (0.000, 0.000, 0.000)
Hg (0.000, 0.500, 0.500)
Au (0.500, 0.500, 0.500)

Computed properties:
- Energy above the most stable polymorph in this dataset: 0.0217 eV per atom

This record from the Alexandria database describes a relaxed Y3Ho2In crystal. The functional is PBE.

Lattice parameters (Å, degrees): 4.882 15.089 4.853 90.00 90.00 90.00
Space group Cmmm (No. 65)
Inequivalent atoms, fractional coordinates:
Y (0.000, 0.000, 0.000)
Y (0.000, 0.332, 0.000)
Ho (0.000, 0.162, 0.500)
In (0.000, 0.500, 0.500)

Computed properties:
- Uncorrected energy: -64.54 eV per cell

This record from the Alexandria database describes a relaxed Nd3Sm2Y6Ho crystal. The functional is PBE.

Lattice parameters (Å, degrees): 6.253 10.826 11.880 90.00 100.06 90.00
Space group C2/m (No. 12)
Inequivalent atoms, fractional coordinates:
Nd (0.000, 0.000, 0.000)
Nd (0.000, 0.333, 0.000)
Sm (0.000, 0.167, 0.500)
Y (0.249, 0.334, 0.748)
Y (0.250, 0.000, 0.748)
Ho (0.000, 0.500, 0.500)

Computed properties:
- Uncorrected energy: -133.88 eV per cell

This record from the Alexandria database describes a relaxed NpAlGeO6 crystal. The functional is PBE.

Lattice parameters (Å, degrees): 5.1178 5.1178 8.6354 90.00 90.00 120.00
Space group P-31c (No. 163)
Inequivalent atoms, fractional coordinates:
Np (0.3333, 0.6667, 0.2500)
Al (0.3333, 0.6667, 0.7500)
Ge (0.0000, 0.0000, 0.0000)
O (0.0288, 0.3366, 0.6252)

Computed properties:
- E_form (uncorrected): -2.26 eV per atom

This record from the Alexandria database describes a relaxed Lu2TlAg crystal. The functional is PBE.

Lattice parameters (Å, degrees): 7.299 7.299 7.299 90.00 90.00 90.00
Space group Fm-3m (No. 225)
Inequivalent atoms, fractional coordinates:
Lu (0.250, 0.250, 0.250)
Tl (0.000, 0.000, 0.000)
Ag (0.000, 0.000, 0.500)

Computed properties:
- Energy above the most stable polymorph in this dataset: 0.0000 eV per atom

This record from the Alexandria database describes a relaxed Pm4Ni2Sn crystal. The functional is PBE.

Lattice parameters (Å, degrees): 8.599 15.448 6.903 90.00 128.10 90.00
Space group Cc (No. 9)
Inequivalent atoms, fractional coordinates:
Pm (0.000, 0.012, 0.000)
Pm (0.016, 0.421, 0.346)
Pm (0.085, 0.215, 0.659)
Pm (0.243, 0.213, 0.283)
Ni (0.310, 0.083, 0.026)
Ni (0.387, 0.337, 0.686)
Sn (0.165, 0.387, 0.966)

Computed properties:
- Uncorrected energy: -148.85 eV per cell

This record from the Alexandria database describes a relaxed Zn2CrCu crystal. The functional is PBE.

Lattice parameters (Å, degrees): 6.913 6.913 5.195 90.00 90.00 90.00
Space group I-42d (No. 122)
Inequivalent atoms, fractional coordinates:
Zn (0.228, 0.250, 0.125)
Cr (0.000, 0.000, 0.500)
Cu (0.000, 0.000, 0.000)

Computed properties:
- Uncorrected energy: -58.53 eV per cell

This record from the Alexandria database describes a relaxed Tm2BIr3 crystal. The functional is PBE.

Lattice parameters (Å, degrees): 3.171 5.219 12.663 90.00 90.00 90.00
Space group Immm (No. 71)
Inequivalent atoms, fractional coordinates:
Tm (0.000, 0.000, 0.187)
B (0.000, 0.000, 0.500)
Ir (0.000, 0.500, 0.112)
Ir (0.000, 0.500, 0.500)

Computed properties:
- Energy above the most stable polymorph in this dataset: 0.3705 eV per atom

This record from the Alexandria database describes a relaxed Sc5AgHg crystal. The functional is PBE.

Lattice parameters (Å, degrees): 8.125 8.577 9.557 90.00 98.59 90.00
Space group C2/c (No. 15)
Inequivalent atoms, fractional coordinates:
Sc (0.000, 0.162, 0.250)
Sc (0.146, 0.383, 0.509)
Sc (0.188, 0.185, 0.821)
Ag (0.000, 0.483, 0.750)
Hg (0.000, 0.000, 0.000)

Computed properties:
- Uncorrected energy: -139.97 eV per cell

This record from the Alexandria database describes a relaxed Hf8Bi2Ru crystal. The functional is PBE.

Lattice parameters (Å, degrees): 16.706 4.952 5.854 90.00 92.72 90.00
Space group C2/m (No. 12)
Inequivalent atoms, fractional coordinates:
Hf (0.038, 0.000, 0.260)
Hf (0.084, 0.500, 0.577)
Hf (0.149, 0.500, 0.114)
Hf (0.229, 0.000, 0.342)
Bi (0.163, 0.000, 0.813)
Ru (0.000, 0.500, 0.000)

Computed properties:
- Uncorrected energy: -195.91 eV per cell

This record from the Alexandria database describes a relaxed Pm2DyHo4Er crystal. The functional is PBE.

Lattice parameters (Å, degrees): 13.582 13.239 6.788 90.00 119.98 90.00
Space group C2/c (No. 15)
Inequivalent atoms, fractional coordinates:
Pm (0.000, 0.000, 0.000)
Pm (0.250, 0.250, 0.000)
Dy (0.250, 0.250, 0.500)
Ho (0.000, 0.254, 0.001)
Ho (0.247, 0.499, 0.495)
Er (0.000, 0.500, 0.000)

Computed properties:
- Uncorrected energy: -134.04 eV per cell

This record from the Alexandria database describes a relaxed Ac2PuTl2O6 crystal. The functional is PBE.

Lattice parameters (Å, degrees): 6.577 11.262 6.734 90.00 106.16 90.00
Space group C2/m (No. 12)
Inequivalent atoms, fractional coordinates:
Ac (0.000, 0.165, 0.000)
Pu (0.000, 0.500, 0.000)
Tl (0.000, 0.346, 0.500)
O (0.197, 0.346, 0.161)
O (0.237, 0.500, 0.816)

Computed properties:
- E_form (uncorrected): -2.39 eV per atom

This record from the Alexandria database describes a relaxed DyPu2Cu2Ge2 crystal. The functional is PBE.

Lattice parameters (Å, degrees): 4.0267 4.0267 26.6421 90.00 90.00 120.00
Space group R-3m (No. 166, hexagonal axes)
Inequivalent atoms, fractional coordinates:
Dy (0.0000, 0.0000, 0.0000)
Pu (0.0000, 0.0000, 0.1508)
Cu (0.0000, 0.0000, 0.4117)
Ge (0.0000, 0.0000, 0.2610)

Computed properties:
- Uncorrected energy: -158.03 eV per cell

This record from the Alexandria database describes a relaxed V12Cr6Mo crystal. The functional is PBE.

Lattice parameters (Å, degrees): 8.8050 8.8050 11.4925 90.00 90.00 120.00
Space group R-3 (No. 148, hexagonal axes)
Inequivalent atoms, fractional coordinates:
V (0.0558, 0.1898, 0.3028)
V (0.0659, 0.8378, 0.9164)
Cr (0.0223, 0.4376, 0.2055)
Mo (0.0000, 0.0000, 0.5000)

Computed properties:
- Uncorrected energy: -523.30 eV per cell

This record from the Alexandria database describes a relaxed InHOs3 crystal. The functional is PBE.

Lattice parameters (Å, degrees): 4.027 4.027 4.027 90.00 90.00 90.00
Space group Pm-3m (No. 221)
Inequivalent atoms, fractional coordinates:
In (0.000, 0.000, 0.000)
H (0.500, 0.500, 0.500)
Os (0.000, 0.500, 0.500)

Computed properties:
- Energy above the most stable polymorph in this dataset: 0.0000 eV per atom

This record from the Alexandria database describes a relaxed Pu3Tl2Te6 crystal. The functional is PBE.

Lattice parameters (Å, degrees): 7.733 13.421 8.517 90.00 107.64 90.00
Space group C2/m (No. 12)
Inequivalent atoms, fractional coordinates:
Pu (0.000, 0.000, 0.000)
Pu (0.000, 0.333, 0.000)
Tl (0.000, 0.166, 0.500)
Te (0.234, 0.500, 0.213)
Te (0.240, 0.168, 0.214)

Computed properties:
- E_form (uncorrected): -0.76 eV per atom

This record from the Alexandria database describes a relaxed BaMnZn2Si crystal. The functional is PBE.

Lattice parameters (Å, degrees): 4.879 4.879 4.526 90.00 90.00 90.00
Space group P4/mmm (No. 123)
Inequivalent atoms, fractional coordinates:
Ba (0.000, 0.000, 0.000)
Mn (0.500, 0.500, 0.500)
Zn (0.000, 0.500, 0.500)
Si (0.500, 0.500, 0.000)

Computed properties:
- E_form (uncorrected): -0.10 eV per atom

This record from the Alexandria database describes a relaxed KAcPb4 crystal. The functional is PBE.

Lattice parameters (Å, degrees): 9.402 9.402 9.402 90.00 90.00 90.00
Space group F-43m (No. 216)
Inequivalent atoms, fractional coordinates:
K (0.000, 0.000, 0.000)
Ac (0.250, 0.250, 0.750)
Pb (0.124, 0.124, 0.376)

Computed properties:
- Uncorrected energy: -86.79 eV per cell

This record from the Alexandria database describes a relaxed Al6ZnGa crystal. The functional is PBE.

Lattice parameters (Å, degrees): 4.674 6.376 9.148 90.00 90.00 90.00
Space group Amm2 (No. 38)
Inequivalent atoms, fractional coordinates:
Al (0.000, 0.000, 0.000)
Al (0.000, 0.241, 0.746)
Al (0.500, 0.000, 0.825)
Al (0.500, 0.247, 0.572)
Zn (0.000, 0.000, 0.492)
Ga (0.500, 0.000, 0.320)

Computed properties:
- Energy above the most stable polymorph in this dataset: 0.0447 eV per atom